Computed, not measured: an optimized crystal structure of Rb2FeI7 at the PBE-GGA level of DFT.

Output
Fermi-level density of states (states/eV/cell): 5.7
Formation energy (no corrections) (eV per atom): -0.574
Space-group type: I4/mmm, No. 139
Calculated volume (Å³ per atom): 47.19
Total moment (μB per cell): 3.0

Cell lengths 8.697, 8.697, 8.697 Å; angles 119.01, 119.01, 91.72 degrees
Fractional positions:
Rb1 0.250 0.750 0.500
Rb2 0.750 0.250 0.500
Fe1 0.000 0.000 0.000
I1 0.210 0.210 0.420
I2 0.210 0.790 0.000
I3 0.253 0.253 0.000
I4 0.500 0.500 0.000
I5 0.747 0.747 0.000
I6 0.790 0.210 0.000
I7 0.790 0.790 0.580

=====

Computed, not measured: an optimized crystal structure of RbFe2I at the PBE-GGA level of DFT.

Output
Fermi-level density of states (states/eV/cell): 10.9
Formation energy (no corrections) (eV per atom): 0.753
Space-group type: I4_1/amd, No. 141
Calculated volume (Å³ per atom): 30.64
Distance to the lowest polymorph of the same formula (kcal/mol of atoms): 0.00
Total moment (μB per cell): 11.6

Cell lengths 10.752, 10.752, 10.752 Å; angles 153.61, 153.61, 37.66 degrees
Fractional positions:
Rb1 0.375 0.625 0.750
Rb2 0.625 0.375 0.250
Fe1 0.000 0.000 0.000
Fe2 0.000 0.000 0.500
Fe3 0.000 0.500 0.000
Fe4 0.500 0.000 0.500
I1 0.125 0.875 0.250
I2 0.875 0.125 0.750

=====

Computed, not measured: an optimized crystal structure of RbFe2I7 at the PBE-GGA level of DFT.

Output
Fermi-level density of states (states/eV/cell): 5.8
Formation energy (no corrections) (eV per atom): -0.341
Space-group type: P2/m, No. 10
Calculated volume (Å³ per atom): 46.69
Total moment (μB per cell): 8.0

Cell lengths 10.245, 4.379, 10.959 Å; angles 90.00, 108.24, 90.00 degrees
Fractional positions:
Rb1 0.000 0.000 0.000
Fe1 0.202 0.500 0.364
Fe2 0.798 0.500 0.636
I1 0.057 0.500 0.742
I2 0.285 0.000 0.504
I3 0.311 0.500 0.181
I4 0.500 0.500 0.000
I5 0.689 0.500 0.819
I6 0.715 0.000 0.496
I7 0.943 0.500 0.258

=====

Computed, not measured: an optimized crystal structure of Rb3Fe5I12 at the PBE-GGA level of DFT.

Output
Fermi-level density of states (states/eV/cell): 98.9
Formation energy (no corrections) (eV per atom): -0.428
Space-group type: Ia-3d, No. 230
Calculated volume (Å³ per atom): 38.61
Total moment (μB per cell): 76.0

Cell lengths 15.890, 15.890, 15.890 Å; angles 109.47, 109.47, 109.47 degrees
Fractional positions:
Rb1 0.125 0.250 0.375
Rb2 0.125 0.375 0.750
Rb3 0.250 0.375 0.125
Rb4 0.250 0.875 0.625
Rb5 0.375 0.125 0.250
Rb6 0.375 0.750 0.125
Rb7 0.625 0.250 0.875
Rb8 0.625 0.875 0.750
Rb9 0.750 0.125 0.375
Rb10 0.750 0.625 0.875
Rb11 0.875 0.625 0.250
Rb12 0.875 0.750 0.625
Fe1 0.000 0.000 0.000
Fe2 0.000 0.000 0.500
Fe3 0.000 0.500 0.000
Fe4 0.000 0.500 0.500
Fe5 0.125 0.750 0.875
Fe6 0.125 0.875 0.250
Fe7 0.250 0.125 0.875
Fe8 0.250 0.625 0.375
Fe9 0.375 0.250 0.625
Fe10 0.375 0.625 0.750
Fe11 0.500 0.000 0.000
Fe12 0.500 0.000 0.500
Fe13 0.500 0.500 0.000
Fe14 0.500 0.500 0.500
Fe15 0.625 0.375 0.250
Fe16 0.625 0.750 0.375
Fe17 0.750 0.375 0.625
Fe18 0.750 0.875 0.125
Fe19 0.875 0.125 0.750
Fe20 0.875 0.250 0.125
I1 0.011 0.194 0.108
I2 0.011 0.317 0.904
I3 0.086 0.694 0.683
I4 0.086 0.892 0.404
I5 0.096 0.608 0.414
I6 0.096 0.989 0.683
I7 0.108 0.011 0.194
I8 0.108 0.596 0.914
I9 0.183 0.194 0.586
I10 0.183 0.489 0.596
I11 0.194 0.108 0.011
I12 0.194 0.586 0.183
I13 0.306 0.317 0.914
I14 0.306 0.489 0.392
I15 0.317 0.904 0.011
I16 0.317 0.914 0.306
I17 0.392 0.306 0.489
I18 0.392 0.586 0.904
I19 0.404 0.086 0.892
I20 0.404 0.817 0.511
I21 0.414 0.096 0.608
I22 0.414 0.817 0.806
I23 0.489 0.392 0.306
I24 0.489 0.596 0.183
I25 0.511 0.404 0.817
I26 0.511 0.608 0.694
I27 0.586 0.183 0.194
I28 0.586 0.904 0.392
I29 0.596 0.183 0.489
I30 0.596 0.914 0.108
I31 0.608 0.414 0.096
I32 0.608 0.694 0.511
I33 0.683 0.086 0.694
I34 0.683 0.096 0.989
I35 0.694 0.511 0.608
I36 0.694 0.683 0.086
I37 0.806 0.414 0.817
I38 0.806 0.892 0.989
I39 0.817 0.511 0.404
I40 0.817 0.806 0.414
I41 0.892 0.404 0.086
I42 0.892 0.989 0.806
I43 0.904 0.011 0.317
I44 0.904 0.392 0.586
I45 0.914 0.108 0.596
I46 0.914 0.306 0.317
I47 0.989 0.683 0.096
I48 0.989 0.806 0.892

=====

Computed, not measured: an optimized crystal structure of Rb2FeReI at the PBE-GGA level of DFT.

Output
Fermi-level density of states (states/eV/cell): 5.8
Formation energy (no corrections) (eV per atom): 1.536
Space-group type: P4/mmm, No. 123
Calculated volume (Å³ per atom): 50.62
Total moment (μB per cell): 0.2

Cell lengths 6.992, 6.992, 5.177 Å; angles 90.00, 90.00, 90.00 degrees
Fractional positions:
Rb1 0.000 0.500 0.000
Rb2 0.500 0.000 0.000
Fe1 0.000 0.000 0.500
Re1 0.500 0.500 0.500
I1 0.500 0.500 0.000

=====

Computed, not measured: an optimized crystal structure of RbFeSbI2 at the PBE-GGA level of DFT.

Output
Fermi-level density of states (states/eV/cell): 5.8
Formation energy (no corrections) (eV per atom): -0.133
Space-group type: P4/mmm, No. 123
Calculated volume (Å³ per atom): 32.83
Total moment (μB per cell): 0.1

Cell lengths 5.840, 5.840, 4.814 Å; angles 90.00, 90.00, 90.00 degrees
Fractional positions:
Rb1 0.000 0.000 0.000
Fe1 0.500 0.500 0.500
Sb1 0.500 0.500 0.000
I1 0.000 0.500 0.500
I2 0.500 0.000 0.500

=====

Computed, not measured: an optimized crystal structure of Rb2ScFeI6 at the PBE-GGA level of DFT.

Output
Fermi-level density of states (states/eV/cell): 13.7
Formation energy (no corrections) (eV per atom): -0.923
Space-group type: Fm-3m, No. 225
Calculated volume (Å³ per atom): 38.60
Total moment (μB per cell): 3.0

Cell lengths 8.173, 8.173, 8.173 Å; angles 60.00, 60.00, 60.00 degrees
Fractional positions:
Rb1 0.250 0.250 0.250
Rb2 0.750 0.750 0.750
Sc1 0.000 0.000 0.000
Fe1 0.500 0.500 0.500
I1 0.253 0.253 0.747
I2 0.253 0.747 0.253
I3 0.253 0.747 0.747
I4 0.747 0.253 0.253
I5 0.747 0.253 0.747
I6 0.747 0.747 0.253

=====

Computed, not measured: an optimized crystal structure of Rb2FeSiI6 at the PBE-GGA level of DFT.

Output
Fermi-level density of states (states/eV/cell): 6.6
Formation energy (no corrections) (eV per atom): -0.578
Space-group type: Fm-3m, No. 225
Calculated volume (Å³ per atom): 38.45
Total moment (μB per cell): 4.0

Cell lengths 8.162, 8.162, 8.162 Å; angles 60.00, 60.00, 60.00 degrees
Fractional positions:
Rb1 0.250 0.250 0.250
Rb2 0.750 0.750 0.750
Fe1 0.000 0.000 0.000
Si1 0.500 0.500 0.500
I1 0.246 0.246 0.754
I2 0.246 0.754 0.246
I3 0.246 0.754 0.754
I4 0.754 0.246 0.246
I5 0.754 0.246 0.754
I6 0.754 0.754 0.246